Arrangement one

The following is a PBE-GGA calculation of a relaxed KHg2Se crystal, from the Alexandria database.

Lattice parameters (Å, degrees): 4.877 4.276 6.816 90.00 98.21 90.00
Space group Pm (No. 6)
Symmetry-distinct sites (fractional):
K (0.000, 0.000, 0.000)
Hg (0.447, 0.000, 0.585)
Hg (0.546, 0.500, 0.301)
Se (0.473, 0.500, 0.879)



Arrangement two

The following is a PBE-GGA calculation of a relaxed KHg2Se crystal, from the Alexandria database.

Lattice parameters (Å, degrees): 5.1691 5.1691 16.1750 90.00 90.00 120.00
Space group R-3m (No. 166, hexagonal axes)
Symmetry-distinct sites (fractional):
K (0.0000, 0.0000, 0.0000)
Hg (0.0000, 0.0000, 0.2241)
Se (0.0000, 0.0000, 0.5000)



Arrangement three

The following is a PBE-GGA calculation of a relaxed KHg2Se crystal, from the Alexandria database.

Lattice parameters (Å, degrees): 7.738 7.738 7.738 90.00 90.00 90.00
Space group Fm-3m (No. 225)
Symmetry-distinct sites (fractional):
K (0.000, 0.000, 0.000)
Hg (0.250, 0.250, 0.250)
Se (0.000, 0.000, 0.500)



Arrangement four

The following is a PBE-GGA calculation of a relaxed KHg2Se crystal, from the Alexandria database.

Lattice parameters (Å, degrees): 3.256 4.759 7.383 90.00 90.00 90.00
Space group Pmm2 (No. 25)
Symmetry-distinct sites (fractional):
K (0.000, 0.000, 0.000)
Hg (0.000, 0.000, 0.489)
Hg (0.500, 0.500, 0.685)
Se (0.500, 0.500, 0.222)



The most stable of them is arrangement one.



Arrangement one

The following is a PBE-GGA calculation of a relaxed KHg2Se crystal, from the Alexandria database.

Lattice parameters (Å, degrees): 12.229 4.089 5.217 90.00 114.92 90.00
Space group C2/m (No. 12)
Symmetry-distinct sites (fractional):
K (0.000, 0.000, 0.000)
Hg (0.203, 0.000, 0.704)
Se (0.000, 0.500, 0.500)



Arrangement two

The following is a PBE-GGA calculation of a relaxed KHg2Se crystal, from the Alexandria database.

Lattice parameters (Å, degrees): 3.186 5.887 5.951 90.00 90.07 90.00
Space group P2/m (No. 10)
Symmetry-distinct sites (fractional):
K (0.000, 0.000, 0.000)
Hg (0.500, 0.500, 0.253)
Se (0.500, 0.000, 0.500)



The most stable of them is arrangement one.



Arrangement one

The following is a PBE-GGA calculation of a relaxed KHg2Se crystal, from the Alexandria database.

Lattice parameters (Å, degrees): 7.715 7.715 7.715 90.00 90.00 90.00
Space group F-43m (No. 216)
Symmetry-distinct sites (fractional):
K (0.000, 0.000, 0.000)
Hg (0.000, 0.000, 0.500)
Hg (0.250, 0.250, 0.250)
Se (0.250, 0.250, 0.750)



Arrangement two

The following is a PBE-GGA calculation of a relaxed KHg2Se crystal, from the Alexandria database.

Lattice parameters (Å, degrees): 9.182 9.182 6.176 90.00 90.00 90.00
Space group I-42d (No. 122)
Symmetry-distinct sites (fractional):
K (0.000, 0.000, 0.000)
Hg (0.185, 0.250, 0.625)
Se (0.000, 0.000, 0.500)



Arrangement three

The following is a PBE-GGA calculation of a relaxed KHg2Se crystal, from the Alexandria database.

Lattice parameters (Å, degrees): 4.4972 4.4972 21.6960 90.00 90.00 120.00
Space group R3m (No. 160, hexagonal axes)
Symmetry-distinct sites (fractional):
K (0.0000, 0.0000, 0.0000)
Hg (0.0000, 0.0000, 0.2226)
Hg (0.0000, 0.0000, 0.4824)
Se (0.0000, 0.0000, 0.7570)



The most stable of them is arrangement three.



Arrangement one

The following is a PBE-GGA calculation of a relaxed KHg2Se crystal, from the Alexandria database.

Lattice parameters (Å, degrees): 6.119 12.088 3.127 90.00 90.00 90.00
Space group Cmmm (No. 65)
Symmetry-distinct sites (fractional):
K (0.000, 0.000, 0.000)
Hg (0.250, 0.250, 0.500)
Se (0.000, 0.500, 0.000)



Arrangement two

The following is a PBE-GGA calculation of a relaxed KHg2Se crystal, from the Alexandria database.

Lattice parameters (Å, degrees): 4.480 6.322 8.845 90.00 90.00 90.00
Space group Imm2 (No. 44)
Symmetry-distinct sites (fractional):
K (0.000, 0.000, 0.000)
Hg (0.000, 0.000, 0.472)
Hg (0.000, 0.500, 0.201)
Se (0.000, 0.500, 0.789)



Arrangement three

The following is a PBE-GGA calculation of a relaxed KHg2Se crystal, from the Alexandria database.

Lattice parameters (Å, degrees): 4.535 4.535 5.464 90.00 90.00 90.00
Space group P4/mmm (No. 123)
Symmetry-distinct sites (fractional):
K (0.000, 0.000, 0.000)
Hg (0.000, 0.500, 0.500)
Se (0.500, 0.500, 0.000)



The most stable of them is arrangement two.



Arrangement one

The following is a PBE-GGA calculation of a relaxed KHg2Se crystal, from the Alexandria database.

Lattice parameters (Å, degrees): 3.896 3.896 7.603 90.00 90.00 90.00
Space group P4mm (No. 99)
Symmetry-distinct sites (fractional):
K (0.000, 0.000, 0.000)
Hg (0.000, 0.000, 0.453)
Hg (0.500, 0.500, 0.685)
Se (0.500, 0.500, 0.269)



Arrangement two

The following is a PBE-GGA calculation of a relaxed KHg2Se crystal, from the Alexandria database.

Lattice parameters (Å, degrees): 9.355 4.353 7.252 90.00 116.97 90.00
Space group Cm (No. 8)
Symmetry-distinct sites (fractional):
K (0.000, 0.000, 0.000)
Hg (0.186, 0.000, 0.660)
Hg (0.433, 0.000, 0.489)
Se (0.285, 0.500, 0.247)



Arrangement three

The following is a PBE-GGA calculation of a relaxed KHg2Se crystal, from the Alexandria database.

Lattice parameters (Å, degrees): 6.430 12.773 3.196 90.00 118.22 90.00
Space group C2/m (No. 12)
Symmetry-distinct sites (fractional):
K (0.000, 0.000, 0.000)
Hg (0.250, 0.250, 0.500)
Se (0.000, 0.500, 0.000)



The most stable of them is arrangement two.



Arrangement one

The following is a PBE-GGA calculation of a relaxed KHgSe2 crystal, from the Alexandria database.

Lattice parameters (Å, degrees): 3.720 5.212 6.684 90.00 90.42 90.00
Space group P2/m (No. 10)
Symmetry-distinct sites (fractional):
K (0.000, 0.000, 0.000)
Hg (0.500, 0.000, 0.500)
Se (0.497, 0.500, 0.825)



Arrangement two

The following is a PBE-GGA calculation of a relaxed KHgSe2 crystal, from the Alexandria database.

Lattice parameters (Å, degrees): 7.528 7.528 7.528 90.00 90.00 90.00
Space group F-43m (No. 216)
Symmetry-distinct sites (fractional):
K (0.000, 0.000, 0.000)
Hg (0.250, 0.250, 0.750)
Se (0.000, 0.000, 0.500)
Se (0.250, 0.250, 0.250)



The most stable of them is arrangement one.



Arrangement one

The following is a PBE-GGA calculation of a relaxed K2HgSe crystal, from the Alexandria database.

Lattice parameters (Å, degrees): 12.350 4.304 5.331 90.00 109.60 90.00
Space group Cm (No. 8)
Symmetry-distinct sites (fractional):
K (0.000, 0.000, 0.000)
K (0.197, 0.000, 0.666)
Hg (0.416, 0.000, 0.419)
Se (0.230, 0.500, 0.177)



Arrangement two

The following is a PBE-GGA calculation of a relaxed K2HgSe crystal, from the Alexandria database.

Lattice parameters (Å, degrees): 8.033 8.033 8.033 90.00 90.00 90.00
Space group Fm-3m (No. 225)
Symmetry-distinct sites (fractional):
K (0.250, 0.250, 0.250)
Hg (0.000, 0.000, 0.000)
Se (0.000, 0.000, 0.500)



Arrangement three

The following is a PBE-GGA calculation of a relaxed K2HgSe crystal, from the Alexandria database.

Lattice parameters (Å, degrees): 7.994 7.994 7.994 90.00 90.00 90.00
Space group F-43m (No. 216)
Symmetry-distinct sites (fractional):
K (0.000, 0.000, 0.000)
K (0.250, 0.250, 0.250)
Hg (0.000, 0.000, 0.500)
Se (0.250, 0.250, 0.750)



The most stable of them is arrangement two.



Arrangement one

The following is a PBE-GGA calculation of a relaxed K2HgSe crystal, from the Alexandria database.

Lattice parameters (Å, degrees): 4.797 4.784 6.587 90.00 111.24 90.00
Space group Pm (No. 6)
Symmetry-distinct sites (fractional):
K (0.000, 0.000, 0.000)
K (0.278, 0.500, 0.556)
Hg (0.563, 0.500, 0.127)
Se (0.724, 0.000, 0.445)



Arrangement two

The following is a PBE-GGA calculation of a relaxed K2HgSe crystal, from the Alexandria database.

Lattice parameters (Å, degrees): 5.423 5.423 4.430 90.00 90.00 90.00
Space group P4/mmm (No. 123)
Symmetry-distinct sites (fractional):
K (0.000, 0.500, 0.000)
Hg (0.000, 0.000, 0.500)
Se (0.500, 0.500, 0.500)



Arrangement three

The following is a PBE-GGA calculation of a relaxed K2HgSe crystal, from the Alexandria database.

Lattice parameters (Å, degrees): 6.021 6.021 12.245 90.00 90.00 90.00
Space group I4/mmm (No. 139)
Symmetry-distinct sites (fractional):
K (0.000, 0.000, 0.238)
Hg (0.000, 0.000, 0.500)
Se (0.000, 0.000, 0.000)



Arrangement four

The following is a PBE-GGA calculation of a relaxed K2HgSe crystal, from the Alexandria database.

Lattice parameters (Å, degrees): 6.630 6.630 18.782 90.00 90.00 90.00
Space group I-42d (No. 122)
Symmetry-distinct sites (fractional):
K (0.178, 0.250, 0.125)
Hg (0.000, 0.000, 0.500)
Se (0.000, 0.000, 0.000)



The most stable of them is arrangement one.



Arrangement one

The following is a PBE-GGA calculation of a relaxed K2HgSe crystal, from the Alexandria database.

Lattice parameters (Å, degrees): 5.2143 5.2143 21.8989 90.00 90.00 120.00
Space group R3m (No. 160, hexagonal axes)
Symmetry-distinct sites (fractional):
K (0.0000, 0.0000, 0.0000)
K (0.0000, 0.0000, 0.2179)
Hg (0.0000, 0.0000, 0.7599)
Se (0.0000, 0.0000, 0.6186)



Arrangement two

The following is a PBE-GGA calculation of a relaxed K2HgSe crystal, from the Alexandria database.

Lattice parameters (Å, degrees): 4.683 4.709 6.590 90.00 90.00 90.00
Space group Pmm2 (No. 25)
Symmetry-distinct sites (fractional):
K (0.000, 0.000, 0.000)
K (0.500, 0.500, 0.388)
Hg (0.500, 0.500, 0.855)
Se (0.000, 0.000, 0.508)



The most stable of them is arrangement one.



Arrangement one

The following is a PBE-GGA calculation of a relaxed KHg3Se3 crystal, from the Alexandria database.

Lattice parameters (Å, degrees): 11.2669 11.2669 4.4983 90.00 90.00 120.00
Space group P6_3/m (No. 176)
Symmetry-distinct sites (fractional):
K (0.3333, 0.6667, 0.2500)
Hg (0.0398, 0.6837, 0.7500)
Se (0.1164, 0.4175, 0.7500)



Arrangement two

The following is a PBE-GGA calculation of a relaxed KHg3Se3 crystal, from the Alexandria database.

Lattice parameters (Å, degrees): 8.1215 8.1215 24.0611 90.00 90.00 120.00
Space group R-3 (No. 148, hexagonal axes)
Symmetry-distinct sites (fractional):
K (0.0000, 0.0000, 0.1665)
Hg (0.0072, 0.6891, 0.6114)
Se (0.0059, 0.6573, 0.4066)



The most stable of them is arrangement one.